(1)
Entry from Alexandria: crystalline HfSnRuPb2 at its relaxed geometry (PBE).

Output
For the formation energy, the calculation gives 1.310 eV/atom. The calculation puts the density of states at the Fermi level at 5.1 states/eV/f.u. Its total magnetic moment is 0.00 μB/cell.

Cell: 5.5478 5.5478 4.8657 Å, 90.00 90.00 90.00°
Atoms (fractional coordinates):
Hf 0.0000 0.0000 0.0000
Sn 0.5000 0.5000 0.5000
Ru 0.5000 0.5000 0.0000
Pb 0.0000 0.5000 0.5000
Pb 0.5000 0.0000 0.5000

***

(2)
Entry from Alexandria: crystalline ReBiP2C at its relaxed geometry (PBE).

Output
For the formation energy, the calculation gives 1.567 eV/atom. The calculation puts the density of states at the Fermi level at 3.9 states/eV/f.u. Its total magnetic moment is 0.49 μB/cell.

Cell: 4.0717 4.0717 4.7048 Å, 90.00 90.00 90.00°
Atoms (fractional coordinates):
Re 0.0000 0.0000 0.0000
Bi 0.5000 0.5000 0.0000
P 0.0000 0.5000 0.5000
P 0.5000 0.0000 0.5000
C 0.5000 0.5000 0.5000

***

(3)
Entry from Alexandria: crystalline Sr2HgOs at its relaxed geometry (PBE).

Output
For the formation energy, the calculation gives 0.482 eV/atom. The calculation puts the density of states at the Fermi level at 2.1 states/eV/f.u. Its total magnetic moment is 0.00 μB/cell.

Cell: 5.7960 5.7960 5.7960 Å, 132.72 132.72 69.10°
Atoms (fractional coordinates):
Sr 0.0000 0.0000 0.0000
Sr 0.7500 0.2500 0.5000
Hg 0.2500 0.7500 0.5000
Os 0.5000 0.5000 0.0000

***

(4)
Entry from Alexandria: crystalline NaTc2Ge2 at its relaxed geometry (PBE).

Output
The value obtained for the excess energy over the best structure of this formula in the dataset is 0.0 kJ/mol of atoms. For the formation energy, the calculation gives 0.033 eV/atom. The calculation puts the density of states at the Fermi level at 5.4 states/eV/f.u. Its total magnetic moment is 0.00 μB/cell.

Cell: 6.3102 6.3102 6.3102 Å, 143.16 143.16 53.09°
Atoms (fractional coordinates):
Na 0.0000 0.0000 0.0000
Tc 0.2500 0.7500 0.5000
Tc 0.7500 0.2500 0.5000
Ge 0.3877 0.3877 0.0000
Ge 0.6123 0.6123 0.0000

***

Question: Number 3 is which compound?
Answer: Sr2HgOs